# VSi2AuO

Crystalline VSi2AuO at its relaxed geometry (GGA+U, the Alexandria database).

Summary:
Space-group type: P4/mmm, No. 123
Raw total energy, eV/atom: -5.11

Cell lengths 4.9301, 3.5974, 4.9301 Å; angles 90.00, 90.00, 90.00 degrees
Last column: magnetic moment on the atom in μB.
Fractional coordinates of all 5 atoms:
Si 0.0000 0.0000 0.5000  -0.02
Si 0.5000 0.0000 0.0000  -0.05
Au 0.5000 0.5000 0.5000  0.01
O 0.0000 0.5000 0.0000  -0.11
V 0.0000 0.0000 0.0000  0.91